Entry from Alexandria via LeMat-Bulk: an optimized crystal structure of Pu7Ir2Pb (PBE-GGA). Values from VASP.

Quantum ESPRESSO input file:
```
&SYSTEM
  ibrav = 0, nat = 10, ntyp = 3
/
ATOMIC_SPECIES
Pu 244.00 Pu.upf
Ir 192.22 Ir.upf
Pb 207.20 Pb.upf
CELL_PARAMETERS angstrom
-2.362 2.362 11.506
2.362 -2.362 11.506
2.362 2.362 -11.506
ATOMIC_POSITIONS crystal
Pu 0.000 0.000 0.000
Pu 0.102 0.602 0.500
Pu 0.250 0.750 0.500
Pu 0.398 0.898 0.500
Pu 0.602 0.102 0.500
Pu 0.750 0.250 0.500
Pu 0.898 0.398 0.500
Ir 0.171 0.171 0.000
Ir 0.829 0.829 0.000
Pb 0.500 0.500 0.000
```

Calculated values
Size of the total moment ... 6.0 μB per formula unit
Total energy ... -122.7 eV per formula unit
Calculated volume ... 256.7 Å³ per cell


Entry from Alexandria via LeMat-Bulk: an optimized crystal structure of Rb2Ir2Pb (PBE-GGA). Values from VASP.

Quantum ESPRESSO input file:
```
&SYSTEM
  ibrav = 0, nat = 5, ntyp = 3
/
ATOMIC_SPECIES
Rb 85.47 Rb.upf
Ir 192.22 Ir.upf
Pb 207.20 Pb.upf
CELL_PARAMETERS angstrom
-1.783 1.783 12.295
1.783 -1.783 12.295
1.783 1.783 -12.295
ATOMIC_POSITIONS crystal
Rb 0.127 0.127 0.000
Rb 0.873 0.873 0.000
Ir 0.250 0.750 0.500
Ir 0.750 0.250 0.500
Pb 0.500 0.500 0.000
```

Calculated values
Relative energy among the computed polymorphs ... 0.000 eV per atom
Size of the total moment ... 0.0 μB per formula unit
Calculated volume ... 156.4 Å³ per cell


Entry from Alexandria via LeMat-Bulk: an optimized crystal structure of RbIrPb3 (PBE-GGA). Values from VASP.

Quantum ESPRESSO input file:
```
&SYSTEM
  ibrav = 0, nat = 5, ntyp = 3
/
ATOMIC_SPECIES
Rb 85.47 Rb.upf
Ir 192.22 Ir.upf
Pb 207.20 Pb.upf
CELL_PARAMETERS angstrom
5.510 0.000 0.000
0.000 5.510 0.000
0.000 0.000 5.510
ATOMIC_POSITIONS crystal
Rb 0.000 0.000 0.000
Ir 0.500 0.500 0.500
Pb 0.000 0.500 0.500
Pb 0.500 0.000 0.500
Pb 0.500 0.500 0.000
```

Calculated values
Relative energy among the computed polymorphs ... 0.000 eV per atom
Size of the total moment ... 1.7 μB per formula unit
Calculated volume ... 167.3 Å³ per cell


Entry from Alexandria via LeMat-Bulk: an optimized crystal structure of Rb2Ir2Pb (PBE-GGA). Values from VASP.

Quantum ESPRESSO input file:
```
&SYSTEM
  ibrav = 0, nat = 10, ntyp = 3
/
ATOMIC_SPECIES
Rb 85.47 Rb.upf
Ir 192.22 Ir.upf
Pb 207.20 Pb.upf
CELL_PARAMETERS angstrom
10.023 0.000 0.000
0.000 10.023 0.000
0.000 0.000 2.816
ATOMIC_POSITIONS crystal
Rb 0.118 0.382 0.000
Rb 0.382 0.882 0.000
Rb 0.618 0.118 0.000
Rb 0.882 0.618 0.000
Ir 0.182 0.682 0.500
Ir 0.318 0.182 0.500
Ir 0.682 0.818 0.500
Ir 0.818 0.318 0.500
Pb 0.000 0.000 0.000
Pb 0.500 0.500 0.000
```

Calculated values
Relative energy among the computed polymorphs ... 0.782 eV per atom
Size of the total moment ... 0.0 μB per formula unit
Calculated volume ... 282.9 Å³ per cell


Entry from Alexandria via LeMat-Bulk: an optimized crystal structure of Rb2IrPb2 (PBE-GGA). Values from VASP.

Quantum ESPRESSO input file:
```
&SYSTEM
  ibrav = 0, nat = 10, ntyp = 3
/
ATOMIC_SPECIES
Rb 85.47 Rb.upf
Ir 192.22 Ir.upf
Pb 207.20 Pb.upf
CELL_PARAMETERS angstrom
7.287 0.000 0.000
0.000 7.287 0.000
0.000 0.000 6.311
ATOMIC_POSITIONS crystal
Rb 0.179 0.321 0.000
Rb 0.321 0.821 0.000
Rb 0.679 0.179 0.000
Rb 0.821 0.679 0.000
Ir 0.000 0.000 0.500
Ir 0.500 0.500 0.500
Pb 0.158 0.658 0.500
Pb 0.342 0.158 0.500
Pb 0.658 0.842 0.500
Pb 0.842 0.342 0.500
```

Calculated values
Size of the total moment ... 0.0 μB per formula unit
Total energy ... -17.3 eV per formula unit
Calculated volume ... 335.1 Å³ per cell


Entry from Alexandria via LeMat-Bulk: an optimized crystal structure of RbIrPb3 (PBE-GGA). Values from VASP.

Quantum ESPRESSO input file:
```
&SYSTEM
  ibrav = 0, nat = 5, ntyp = 3
/
ATOMIC_SPECIES
Rb 85.47 Rb.upf
Ir 192.22 Ir.upf
Pb 207.20 Pb.upf
CELL_PARAMETERS angstrom
5.921 0.000 0.000
0.000 5.921 0.000
0.000 0.000 5.921
ATOMIC_POSITIONS crystal
Rb 0.000 0.000 0.000
Ir 0.500 0.500 0.500
Pb 0.000 0.000 0.500
Pb 0.000 0.500 0.000
Pb 0.500 0.000 0.000
```

Calculated values
Relative energy among the computed polymorphs ... 1.836 eV per atom
Size of the total moment ... 1.2 μB per formula unit
Calculated volume ... 207.6 Å³ per cell


Entry from Alexandria via LeMat-Bulk: an optimized crystal structure of RbZn2IrPb (PBE-GGA). Values from VASP.

Quantum ESPRESSO input file:
```
&SYSTEM
  ibrav = 0, nat = 5, ntyp = 4
/
ATOMIC_SPECIES
Rb 85.47 Rb.upf
Zn 65.41 Zn.upf
Ir 192.22 Ir.upf
Pb 207.20 Pb.upf
CELL_PARAMETERS angstrom
5.086 0.000 0.000
0.000 5.086 0.000
0.000 0.000 5.176
ATOMIC_POSITIONS crystal
Rb 0.000 0.000 0.000
Zn 0.000 0.500 0.500
Zn 0.500 0.000 0.500
Ir 0.500 0.500 0.500
Pb 0.500 0.500 0.000
```

Calculated values
Size of the total moment ... 0.0 μB per formula unit
Total energy ... -16.2 eV per formula unit
Calculated volume ... 133.9 Å³ per cell


Entry from Alexandria via LeMat-Bulk: an optimized crystal structure of Re2IrPb (PBE-GGA). Values from VASP.

Quantum ESPRESSO input file:
```
&SYSTEM
  ibrav = 0, nat = 4, ntyp = 3
/
ATOMIC_SPECIES
Re 186.21 Re.upf
Ir 192.22 Ir.upf
Pb 207.20 Pb.upf
CELL_PARAMETERS angstrom
-1.418 2.140 6.137
1.418 -2.140 6.137
1.418 2.140 -6.137
ATOMIC_POSITIONS crystal
Re 0.000 0.000 0.000
Re 0.828 0.328 0.500
Ir 0.258 0.758 0.500
Pb 0.596 0.596 0.000
```

Calculated values
Size of the total moment ... 0.0 μB per formula unit
Total energy ... -34.4 eV per formula unit
Calculated volume ... 74.5 Å³ per cell


Entry from Alexandria via LeMat-Bulk: an optimized crystal structure of ReIr2Pb (PBE-GGA). Values from VASP.

Quantum ESPRESSO input file:
```
&SYSTEM
  ibrav = 0, nat = 4, ntyp = 3
/
ATOMIC_SPECIES
Re 186.21 Re.upf
Ir 192.22 Ir.upf
Pb 207.20 Pb.upf
CELL_PARAMETERS angstrom
2.886 0.000 0.000
0.000 2.886 0.000
0.000 0.000 8.398
ATOMIC_POSITIONS crystal
Re 0.000 0.000 0.000
Ir 0.500 0.500 0.209
Ir 0.500 0.500 0.791
Pb 0.000 0.000 0.500
```

Calculated values
Size of the total moment ... 0.0 μB per formula unit
Total energy ... -32.8 eV per formula unit
Calculated volume ... 70.0 Å³ per cell


Entry from Alexandria via LeMat-Bulk: an optimized crystal structure of Re2IrPb (PBE-GGA). Values from VASP.

Quantum ESPRESSO input file:
```
&SYSTEM
  ibrav = 0, nat = 4, ntyp = 3
/
ATOMIC_SPECIES
Re 186.21 Re.upf
Ir 192.22 Ir.upf
Pb 207.20 Pb.upf
CELL_PARAMETERS angstrom
-1.407 2.359 5.360
1.407 -2.359 5.360
1.407 2.359 -5.360
ATOMIC_POSITIONS crystal
Re 0.217 0.217 0.000
Re 0.783 0.783 0.000
Ir 0.000 0.500 0.500
Pb 0.500 0.000 0.500
```

Calculated values
Size of the total moment ... 0.0 μB per formula unit
Total energy ... -34.3 eV per formula unit
Calculated volume ... 71.1 Å³ per cell


Entry from Alexandria via LeMat-Bulk: an optimized crystal structure of Re2IrPb (PBE-GGA). Values from VASP.

Quantum ESPRESSO input file:
```
&SYSTEM
  ibrav = 0, nat = 4, ntyp = 3
/
ATOMIC_SPECIES
Re 186.21 Re.upf
Ir 192.22 Ir.upf
Pb 207.20 Pb.upf
CELL_PARAMETERS angstrom
4.779 0.000 0.000
0.000 4.779 0.000
0.000 0.000 2.953
ATOMIC_POSITIONS crystal
Re 0.000 0.500 0.000
Re 0.500 0.000 0.000
Ir 0.000 0.000 0.500
Pb 0.500 0.500 0.500
```

Calculated values
Size of the total moment ... 0.0 μB per formula unit
Total energy ... -33.6 eV per formula unit
Calculated volume ... 67.5 Å³ per cell


Entry from Alexandria via LeMat-Bulk: an optimized crystal structure of ReIrPb2 (PBE-GGA). Values from VASP.

Quantum ESPRESSO input file:
```
&SYSTEM
  ibrav = 0, nat = 4, ntyp = 3
/
ATOMIC_SPECIES
Re 186.21 Re.upf
Ir 192.22 Ir.upf
Pb 207.20 Pb.upf
CELL_PARAMETERS angstrom
1.599 0.923 8.885
-1.599 0.923 8.885
0.000 -1.846 8.885
ATOMIC_POSITIONS crystal
Re 0.000 0.000 0.000
Ir 0.500 0.500 0.500
Pb 0.249 0.249 0.249
Pb 0.751 0.751 0.751
```

Calculated values
Relative energy among the computed polymorphs ... 0.603 eV per atom
Size of the total moment ... 0.0 μB per formula unit
Calculated volume ... 78.7 Å³ per cell